No. 1
VASP calculation (GGA-PBE) on a geometry-optimized LaAgGeAs2 structure.

Properties
**Total magnetization**: 0.000 μB per atom
**Fermi-level density of states**: 0.4483 states/eV/atom
**Space group**: P4/mmm
**Formation enthalpy at 0 K**: 0.243 eV/atom

Cell lengths 4.9478, 5.7064, 4.9478 Å; angles 90.00, 90.00, 90.00 degrees
Closest atoms and distances in Å follow each position.
Positions (direct):
As (0.0000, 0.0000, 0.5000)  2 Ge 2.47
As (0.5000, 0.0000, 0.0000)  2 Ge 2.47
Ge (0.0000, 0.0000, 0.0000)  4 As 2.47
Ag (0.5000, 0.5000, 0.5000)  4 La 3.50, 8 As 3.78
La (0.0000, 0.5000, 0.0000)  2 Ge 2.85

***

No. 2
VASP calculation (GGA-PBE) on a geometry-optimized LiAgGeAs structure.

Properties
**Total magnetization**: 0.000 μB per atom
**Fermi-level density of states**: 0.4198 states/eV/atom
**Space group**: F-43m
**Formation enthalpy at 0 K**: -0.047 eV/atom

Cell lengths 4.6724, 4.6724, 4.6724 Å; angles 60.00, 60.00, 60.00 degrees
Closest atoms and distances in Å follow each position.
Positions (direct):
As (0.7500, 0.7500, 0.7500)  4 Li 2.86, 4 Ag 2.86
Ge (0.2500, 0.2500, 0.2500)  4 Li 2.86, 4 Ag 2.86
Ag (0.5000, 0.5000, 0.5000)  4 Ge 2.86, 4 As 2.86
Li (0.0000, 0.0000, 0.0000)  4 As 2.86, 4 Ge 2.86

***

- The lowest Fermi-level density of states belongs to which entry?
  LiAgGeAs

***

- Among the records above, which one has the lowest Fermi-level density of states?
  LiAgGeAs

***

- Among the records above, which one has the highest Fermi-level density of states?
  LaAgGeAs2